# PBE-GGA Er5ZrZn6, relaxed
data_Er5ZrZn6
_space_group_name_H-M_alt 'C m m m'
_space_group_IT_number 65
_space_group_name_Hall '-C 2 2'
_cell_length_a 4.9267
_cell_length_b 14.8636
_cell_length_c 7.0345
_cell_angle_alpha 90.00
_cell_angle_beta 90.00
_cell_angle_gamma 90.00
loop_
_atom_site_label
_atom_site_type_symbol
_atom_site_fract_x
_atom_site_fract_y
_atom_site_fract_z
Er1 Er 0.0000 0.0000 0.0000
Er2 Er 0.0000 0.3313 0.0000
Er3 Er 0.0000 0.3336 0.5000
Zr1 Zr 0.0000 0.0000 0.5000
Zn1 Zn 0.0000 0.1616 0.2567
Zn2 Zn 0.0000 0.5000 0.2593
# Total energy: -42.799 eV per formula unit
# Formation energy: -366 kJ/mol of formula units

***

# PBE-GGA ErZr3Zn4, relaxed
data_ErZr3Zn4
_space_group_name_H-M_alt 'R -3 m'
_space_group_IT_number 166
_space_group_name_Hall '-R 3 2"'
_cell_length_a 4.7878
_cell_length_b 4.7878
_cell_length_c 23.4437
_cell_angle_alpha 90.00
_cell_angle_beta 90.00
_cell_angle_gamma 120.00
loop_
_atom_site_label
_atom_site_type_symbol
_atom_site_fract_x
_atom_site_fract_y
_atom_site_fract_z
Er1 Er 0.0000 0.0000 0.0000
Zr1 Zr 0.0000 0.0000 0.2476
Zr2 Zr 0.0000 0.0000 0.5000
Zn1 Zn 0.0000 0.0000 0.1254
Zn2 Zn 0.0000 0.0000 0.3755
# Total energy: -37.408 eV per formula unit
# Formation energy: -203 kJ/mol of formula units

***

# PBE-GGA ErZr2Zn, relaxed
data_ErZr2Zn
_space_group_name_H-M_alt 'R -3 m'
_space_group_IT_number 166
_space_group_name_Hall '-R 3 2"'
_cell_length_a 3.1578
_cell_length_b 3.1578
_cell_length_c 32.7002
_cell_angle_alpha 90.00
_cell_angle_beta 90.00
_cell_angle_gamma 120.00
loop_
_atom_site_label
_atom_site_type_symbol
_atom_site_fract_x
_atom_site_fract_y
_atom_site_fract_z
Er1 Er 0.0000 0.0000 0.0000
Zr1 Zr 0.0000 0.0000 0.0974
Zn1 Zn 0.0000 0.0000 0.5000
# Relative energy among the computed polymorphs: 362 meV/atom
# Total energy: -21.995 eV per formula unit
# Formation energy: 91 kJ/mol of formula units

***

# PBE-GGA ErZrZn2, relaxed
data_ErZrZn2
_space_group_name_H-M_alt 'R -3 m'
_space_group_IT_number 166
_space_group_name_Hall '-R 3 2"'
_cell_length_a 3.4078
_cell_length_b 3.4078
_cell_length_c 26.2296
_cell_angle_alpha 90.00
_cell_angle_beta 90.00
_cell_angle_gamma 120.00
loop_
_atom_site_label
_atom_site_type_symbol
_atom_site_fract_x
_atom_site_fract_y
_atom_site_fract_z
Er1 Er 0.0000 0.0000 0.0000
Zr1 Zr 0.0000 0.0000 0.5000
Zn1 Zn 0.0000 0.0000 0.2469
# Total energy: -15.958 eV per formula unit
# Formation energy: -29 kJ/mol of formula units

***

# PBE-GGA ErZr5Zn6, relaxed
data_ErZr5Zn6
_space_group_name_H-M_alt 'I m m m'
_space_group_IT_number 71
_space_group_name_Hall '-I 2 2'
_cell_length_a 4.7606
_cell_length_b 6.7549
_cell_length_c 14.2796
_cell_angle_alpha 90.00
_cell_angle_beta 90.00
_cell_angle_gamma 90.00
loop_
_atom_site_label
_atom_site_type_symbol
_atom_site_fract_x
_atom_site_fract_y
_atom_site_fract_z
Er1 Er 0.0000 0.0000 0.0000
Zr1 Zr 0.0000 0.0000 0.3335
Zr2 Zr 0.0000 0.5000 0.0000
Zr3 Zr 0.0000 0.5000 0.3328
Zn1 Zn 0.0000 0.2448 0.5000
Zn2 Zn 0.0000 0.2527 0.1686
# Total energy: -58.167 eV per formula unit
# Formation energy: -311 kJ/mol of formula units

***

# PBE-GGA ErZr2Zn, relaxed
data_ErZr2Zn
_space_group_name_H-M_alt 'I m m m'
_space_group_IT_number 71
_space_group_name_Hall '-I 2 2'
_cell_length_a 3.3718
_cell_length_b 4.9999
_cell_length_c 10.7988
_cell_angle_alpha 90.00
_cell_angle_beta 90.00
_cell_angle_gamma 90.00
loop_
_atom_site_label
_atom_site_type_symbol
_atom_site_fract_x
_atom_site_fract_y
_atom_site_fract_z
Er1 Er 0.0000 0.0000 0.0000
Zr1 Zr 0.0000 0.5000 0.2168
Zn1 Zn 0.0000 0.0000 0.5000
# Relative energy among the computed polymorphs: 0 meV/atom
# Total energy: -23.442 eV per formula unit
# Formation energy: -49 kJ/mol of formula units

***

# PBE-GGA Er2ZrZn3, relaxed
data_Er2ZrZn3
_space_group_name_H-M_alt 'P -3 m 1'
_space_group_IT_number 164
_space_group_name_Hall '-P 3 2"'
_cell_length_a 4.8928
_cell_length_b 4.8928
_cell_length_c 6.0329
_cell_angle_alpha 90.00
_cell_angle_beta 90.00
_cell_angle_gamma 120.00
loop_
_atom_site_label
_atom_site_type_symbol
_atom_site_fract_x
_atom_site_fract_y
_atom_site_fract_z
Er1 Er 0.3333 0.6667 0.1721
Zr1 Zr 0.0000 0.0000 0.5000
Zn1 Zn 0.0000 0.0000 0.0000
Zn2 Zn 0.3333 0.6667 0.6613
# Relative energy among the computed polymorphs: 15 meV/atom
# Total energy: -23.195 eV per formula unit
# Formation energy: -164 kJ/mol of formula units

***

# PBE-GGA Er3Zr2Zn3, relaxed
data_Er3Zr2Zn3
_space_group_name_H-M_alt 'I m m m'
_space_group_IT_number 71
_space_group_name_Hall '-I 2 2'
_cell_length_a 3.4274
_cell_length_b 5.0076
_cell_length_c 20.8139
_cell_angle_alpha 90.00
_cell_angle_beta 90.00
_cell_angle_gamma 90.00
loop_
_atom_site_label
_atom_site_type_symbol
_atom_site_fract_x
_atom_site_fract_y
_atom_site_fract_z
Er1 Er 0.0000 0.0000 0.0000
Er2 Er 0.0000 0.5000 0.1242
Zr1 Zr 0.0000 0.0000 0.2325
Zn1 Zn 0.0000 0.0000 0.5000
Zn2 Zn 0.0000 0.5000 0.3819
# Total energy: -36.550 eV per formula unit
# Formation energy: -188 kJ/mol of formula units

***

# PBE-GGA ErZr2Zn6, relaxed
data_ErZr2Zn6
_space_group_name_H-M_alt 'P 6/m m m'
_space_group_IT_number 191
_space_group_name_Hall '-P 6 2'
_cell_length_a 7.5854
_cell_length_b 7.5854
_cell_length_c 3.2704
_cell_angle_alpha 90.00
_cell_angle_beta 90.00
_cell_angle_gamma 120.00
loop_
_atom_site_label
_atom_site_type_symbol
_atom_site_fract_x
_atom_site_fract_y
_atom_site_fract_z
Er1 Er 0.0000 0.0000 0.0000
Zr1 Zr 0.3333 0.6667 0.0000
Zn1 Zn 0.0000 0.3370 0.5000
# Total energy: -32.080 eV per formula unit
# Formation energy: -268 kJ/mol of formula units

***

# PBE-GGA ErZr2Zn, relaxed
data_ErZr2Zn
_space_group_name_H-M_alt 'P 4/m m m'
_space_group_IT_number 123
_space_group_name_Hall '-P 4 2'
_cell_length_a 4.4286
_cell_length_b 4.4286
_cell_length_c 4.4971
_cell_angle_alpha 90.00
_cell_angle_beta 90.00
_cell_angle_gamma 90.00
loop_
_atom_site_label
_atom_site_type_symbol
_atom_site_fract_x
_atom_site_fract_y
_atom_site_fract_z
Er1 Er 0.0000 0.0000 0.0000
Zr1 Zr 0.0000 0.5000 0.5000
Zn1 Zn 0.5000 0.5000 0.0000
# Relative energy among the computed polymorphs: 92 meV/atom
# Total energy: -23.076 eV per formula unit
# Formation energy: -14 kJ/mol of formula units

***

# PBE-GGA Er3Zr2Zn2, relaxed
data_Er3Zr2Zn2
_space_group_name_H-M_alt 'C 1 2/m 1'
_space_group_IT_number 12
_space_group_name_Hall '-C 2y'
_cell_length_a 4.7696
_cell_length_b 4.7685
_cell_length_c 14.6552
_cell_angle_alpha 90.00
_cell_angle_beta 99.32
_cell_angle_gamma 90.00
loop_
_atom_site_label
_atom_site_type_symbol
_atom_site_fract_x
_atom_site_fract_y
_atom_site_fract_z
Er1 Er 0.0000 0.0000 0.0000
Er2 Er 0.1338 0.0000 0.2656
Zr1 Zr 0.2130 0.5000 0.4266
Zn1 Zn 0.0660 0.5000 0.1306
# Total energy: -34.399 eV per formula unit
# Formation energy: -103 kJ/mol of formula units

***

# PBE-GGA Er3ZrZn2, relaxed
data_Er3ZrZn2
_space_group_name_H-M_alt 'P 4/m m m'
_space_group_IT_number 123
_space_group_name_Hall '-P 4 2'
_cell_length_a 3.4410
_cell_length_b 3.4410
_cell_length_c 11.9576
_cell_angle_alpha 90.00
_cell_angle_beta 90.00
_cell_angle_gamma 90.00
loop_
_atom_site_label
_atom_site_type_symbol
_atom_site_fract_x
_atom_site_fract_y
_atom_site_fract_z
Er1 Er 0.0000 0.0000 0.0000
Er2 Er 0.0000 0.0000 0.3105
Zr1 Zr 0.5000 0.5000 0.5000
Zn1 Zn 0.5000 0.5000 0.1515
# Total energy: -26.008 eV per formula unit
# Formation energy: -118 kJ/mol of formula units

***

# PBE-GGA Er2Zr2Zn, relaxed
data_Er2Zr2Zn
_space_group_name_H-M_alt 'I 4/m m m'
_space_group_IT_number 139
_space_group_name_Hall '-I 4 2'
_cell_length_a 3.3410
_cell_length_b 3.3410
_cell_length_c 21.4975
_cell_angle_alpha 90.00
_cell_angle_beta 90.00
_cell_angle_gamma 90.00
loop_
_atom_site_label
_atom_site_type_symbol
_atom_site_fract_x
_atom_site_fract_y
_atom_site_fract_z
Er1 Er 0.0000 0.0000 0.0908
Zr1 Zr 0.0000 0.0000 0.3002
Zn1 Zn 0.0000 0.0000 0.5000
# Total energy: -27.950 eV per formula unit
# Formation energy: -44 kJ/mol of formula units

***

# PBE-GGA ErZr2Zn, relaxed
data_ErZr2Zn
_space_group_name_H-M_alt 'R 3 m'
_space_group_IT_number 160
_space_group_name_Hall 'R 3 -2"'
_cell_length_a 3.3245
_cell_length_b 3.3245
_cell_length_c 29.2398
_cell_angle_alpha 90.00
_cell_angle_beta 90.00
_cell_angle_gamma 120.00
loop_
_atom_site_label
_atom_site_type_symbol
_atom_site_fract_x
_atom_site_fract_y
_atom_site_fract_z
Er1 Er 0.0000 0.0000 0.0000
Zr1 Zr 0.0000 0.0000 0.2409
Zr2 Zr 0.0000 0.0000 0.4254
Zn1 Zn 0.0000 0.0000 0.8334
# Relative energy among the computed polymorphs: 173 meV/atom
# Total energy: -22.752 eV per formula unit
# Formation energy: 17 kJ/mol of formula units

***

# PBE-GGA ErZrZn3, relaxed
data_ErZrZn3
_space_group_name_H-M_alt 'C 1 2/m 1'
_space_group_IT_number 12
_space_group_name_Hall '-C 2y'
_cell_length_a 16.2341
_cell_length_b 4.3564
_cell_length_c 5.8712
_cell_angle_alpha 90.00
_cell_angle_beta 103.54
_cell_angle_gamma 90.00
loop_
_atom_site_label
_atom_site_type_symbol
_atom_site_fract_x
_atom_site_fract_y
_atom_site_fract_z
Er1 Er 0.0829 0.0000 0.3333
Zr1 Zr 0.1998 0.5000 0.1004
Zn1 Zn 0.0528 0.5000 0.6943
Zn2 Zn 0.1168 0.0000 0.8538
Zn3 Zn 0.2113 0.5000 0.5950
# Total energy: -17.917 eV per formula unit
# Formation energy: -95 kJ/mol of formula units

***

# PBE-GGA Er2ZrZn4, relaxed
data_Er2ZrZn4
_space_group_name_H-M_alt 'I 4/m m m'
_space_group_IT_number 139
_space_group_name_Hall '-I 4 2'
_cell_length_a 4.9958
_cell_length_b 4.9958
_cell_length_c 12.1709
_cell_angle_alpha 90.00
_cell_angle_beta 90.00
_cell_angle_gamma 90.00
loop_
_atom_site_label
_atom_site_type_symbol
_atom_site_fract_x
_atom_site_fract_y
_atom_site_fract_z
Er1 Er 0.0000 0.0000 0.2279
Zr1 Zr 0.0000 0.0000 0.5000
Zn1 Zn 0.0000 0.5000 0.1064
# Total energy: -23.728 eV per formula unit
# Formation energy: -92 kJ/mol of formula units

***

# PBE-GGA ErZr2Zn, relaxed
data_ErZr2Zn
_space_group_name_H-M_alt 'P 4/m m m'
_space_group_IT_number 123
_space_group_name_Hall '-P 4 2'
_cell_length_a 3.2817
_cell_length_b 3.2817
_cell_length_c 8.3134
_cell_angle_alpha 90.00
_cell_angle_beta 90.00
_cell_angle_gamma 90.00
loop_
_atom_site_label
_atom_site_type_symbol
_atom_site_fract_x
_atom_site_fract_y
_atom_site_fract_z
Er1 Er 0.0000 0.0000 0.0000
Zr1 Zr 0.5000 0.5000 0.2841
Zn1 Zn 0.0000 0.0000 0.5000
# Relative energy among the computed polymorphs: 71 meV/atom
# Total energy: -23.159 eV per formula unit
# Formation energy: -22 kJ/mol of formula units

***

# PBE-GGA Er2ZrZn3, relaxed
data_Er2ZrZn3
_space_group_name_H-M_alt 'P 4/m m m'
_space_group_IT_number 123
_space_group_name_Hall '-P 4 2'
_cell_length_a 3.4779
_cell_length_b 3.4779
_cell_length_c 10.3486
_cell_angle_alpha 90.00
_cell_angle_beta 90.00
_cell_angle_gamma 90.00
loop_
_atom_site_label
_atom_site_type_symbol
_atom_site_fract_x
_atom_site_fract_y
_atom_site_fract_z
Er1 Er 0.0000 0.0000 0.1729
Zr1 Zr 0.0000 0.0000 0.5000
Zn1 Zn 0.5000 0.5000 0.0000
Zn2 Zn 0.5000 0.5000 0.3485
# Relative energy among the computed polymorphs: 0 meV/atom
# Total energy: -23.286 eV per formula unit
# Formation energy: -173 kJ/mol of formula units

***

# PBE-GGA ErZrZn10, relaxed
data_ErZrZn10
_space_group_name_H-M_alt 'P m m m'
_space_group_IT_number 47
_space_group_name_Hall '-P 2 2'
_cell_length_a 4.1683
_cell_length_b 5.2448
_cell_length_c 9.0209
_cell_angle_alpha 90.00
_cell_angle_beta 90.00
_cell_angle_gamma 90.00
loop_
_atom_site_label
_atom_site_type_symbol
_atom_site_fract_x
_atom_site_fract_y
_atom_site_fract_z
Er1 Er 0.0000 0.0000 0.0000
Zr1 Zr 0.0000 0.5000 0.5000
Zn1 Zn 0.0000 0.0000 0.3393
Zn2 Zn 0.0000 0.5000 0.1734
Zn3 Zn 0.5000 0.0000 0.5000
Zn4 Zn 0.5000 0.2521 0.2539
Zn5 Zn 0.5000 0.5000 0.0000
# Total energy: -28.213 eV per formula unit
# Formation energy: -228 kJ/mol of formula units

***

# PBE-GGA ErZrZn2, relaxed
data_ErZrZn2
_space_group_name_H-M_alt 'P 4/m m m'
_space_group_IT_number 123
_space_group_name_Hall '-P 4 2'
_cell_length_a 3.4401
_cell_length_b 3.4401
_cell_length_c 6.8380
_cell_angle_alpha 90.00
_cell_angle_beta 90.00
_cell_angle_gamma 90.00
loop_
_atom_site_label
_atom_site_type_symbol
_atom_site_fract_x
_atom_site_fract_y
_atom_site_fract_z
Er1 Er 0.0000 0.0000 0.0000
Zr1 Zr 0.0000 0.0000 0.5000
Zn1 Zn 0.5000 0.5000 0.2683
# Total energy: -16.808 eV per formula unit
# Formation energy: -111 kJ/mol of formula units